Entry 1:
The following is a DFT calculation (PBE) of an optimized crystal structure of SrLiPRh.

Values from the calculation:
Formation enthalpy at 0 K, meV/atom: -617
M_tot, μB/atom: 0.00
Electronic total energy, eV per atom: -4.7060
DOS at the Fermi energy, states/eV/cell: 4.30
Symmetry: P4/nmm (129)

Unit cell a=3.957 b=3.957 c=11.965 alpha=90.00 beta=90.00 gamma=90.00
Sites, in units of the cell vectors:
Sr 0.250 0.250 0.232
Sr 0.750 0.750 0.768
Li 0.250 0.750 0.500
Li 0.750 0.250 0.500
P 0.250 0.250 0.887
P 0.750 0.750 0.113
Rh 0.250 0.750 0.000
Rh 0.750 0.250 0.000



Entry 2:
The following is a DFT calculation (PBE) of an optimized crystal structure of TbInPb.

Values from the calculation:
Formation enthalpy at 0 K, meV/atom: -262
M_tot, μB/atom: 0.00
Distance to the lowest polymorph of the same formula, meV per atom: 121
Electronic total energy, eV per atom: -3.9547
DOS at the Fermi energy, states/eV/cell: 1.83
Symmetry: P3m1 (156)

Unit cell a=5.228 b=5.228 c=3.558 alpha=90.00 beta=90.00 gamma=120.00
Sites, in units of the cell vectors:
Tb 0.000 0.000 0.000
In 0.333 0.667 0.614
Pb 0.667 0.333 0.395



Entry 3:
The following is a DFT calculation (PBE) of an optimized crystal structure of CsCd2SnRu.

Values from the calculation:
Formation enthalpy at 0 K, meV/atom: -7
M_tot, μB/atom: 0.00
Electronic total energy, eV per atom: -3.1995
DOS at the Fermi energy, states/eV/cell: 2.18
Symmetry: P4/mmm (123)

Unit cell a=5.446 b=5.446 c=5.109 alpha=90.00 beta=90.00 gamma=90.00
Sites, in units of the cell vectors:
Cs 0.000 0.000 0.000
Cd 0.000 0.500 0.500
Cd 0.500 0.000 0.500
Sn 0.500 0.500 0.000
Ru 0.500 0.500 0.500



Entry 4:
The following is a DFT calculation (PBE) of an optimized crystal structure of Sr3Ca3Ga4.

Values from the calculation:
Formation enthalpy at 0 K, meV/atom: -329
M_tot, μB/atom: 0.00
Electronic total energy, eV per atom: -2.6450
DOS at the Fermi energy, states/eV/cell: 8.90
Symmetry: Amm2 (38)

Unit cell a=4.792 b=8.167 c=8.167 alpha=91.80 beta=90.00 gamma=90.00
Sites, in units of the cell vectors:
Sr 0.000 0.000 0.000
Sr 0.000 0.497 0.844
Sr 0.000 0.844 0.497
Ca 0.000 0.344 0.344
Ca 0.500 0.173 0.666
Ca 0.500 0.666 0.173
Ga 0.500 0.067 0.286
Ga 0.500 0.286 0.067
Ga 0.500 0.552 0.552
Ga 0.500 0.784 0.784